Y3Te3S after structural relaxation. Source: Alexandria via LeMat-Bulk, functional PBE.

```
14
Lattice="4.1901 -6.9679 0.0000 4.1901 6.9679 0.0000 -1.9733 0.0000 7.4155" Properties=species:S:1:pos:R:3 pbc="T T T"
Y -0.3369 0.0000 1.8335
Y 1.1999 2.1441 5.6960
Y 1.1999 -2.1441 5.6960
Y 5.2069 2.1441 1.7195
Y 5.2069 -2.1441 1.7195
Y 6.7437 0.0000 5.5819
Te 4.1901 4.4578 0.0000
Te 3.2034 3.4989 3.7077
Te 2.6123 0.0000 0.6863
Te 3.7945 0.0000 6.7292
Te 3.2034 -3.4989 3.7077
Te 4.1901 -4.4578 0.0000
S 0.7985 0.0000 4.2221
S 5.6084 0.0000 3.1933
```

Computed properties:
- crystal system = monoclinic
- final energy (eV per formula unit) = -42.58
- E_form (uncorrected) (meV/atom) = -1377

PrY2S4 after structural relaxation. Source: Alexandria via LeMat-Bulk, functional PBE.

```
28
Lattice="11.9550 0.0000 0.0000 0.0000 3.9027 0.0000 0.0000 0.0000 14.2472" Properties=species:S:1:pos:R:3 pbc="T T T"
Pr 2.9408 0.9757 2.3843
Pr 3.0367 2.9270 9.5078
Pr 8.9183 0.9757 4.7393
Pr 9.0142 2.9270 11.8629
Y 0.7720 0.9757 5.5397
Y 1.0832 0.9757 12.8863
Y 4.8944 2.9270 5.7627
Y 5.2055 2.9270 12.6633
Y 6.7495 0.9757 1.5839
Y 7.0607 0.9757 8.4845
Y 10.8719 2.9270 1.3609
Y 11.1830 2.9270 8.7074
S 0.4222 2.9270 11.1522
S 1.1371 0.9757 8.2411
S 1.5686 2.9270 0.5349
S 2.4180 2.9270 4.5276
S 3.5595 0.9757 11.6512
S 4.4089 0.9757 7.6585
S 4.8404 2.9270 1.1176
S 5.5554 0.9757 4.0287
S 6.3997 2.9270 10.2185
S 7.1146 0.9757 13.1296
S 7.5462 2.9270 6.5887
S 8.3955 2.9270 2.5960
S 9.5370 0.9757 9.7196
S 10.3864 0.9757 13.7123
S 10.8179 2.9270 6.0060
S 11.5329 0.9757 3.0949
```

Computed properties:
- energy above the most stable polymorph in this dataset (eV/atom) = 0.016
- crystal system = orthorhombic
- final energy (eV per formula unit) = -48.63
- E_form (uncorrected) (meV/atom) = -2059

LaAsSe2N after structural relaxation. Source: Alexandria via LeMat-Bulk, functional PBE.

```
5
Lattice="5.8123 0.0000 0.0000 0.0000 5.8123 0.0000 0.0000 0.0000 6.1127" Properties=species:S:1:pos:R:3 pbc="T T T"
La 0.0000 0.0000 0.0000
As 0.0000 0.0000 3.0564
Se 0.0000 2.9061 0.0000
Se 2.9061 0.0000 0.0000
N 2.9061 2.9061 3.0564
```

Computed properties:
- energy above the most stable polymorph in this dataset (eV/atom) = 1.305
- crystal system = tetragonal
- final energy (eV per formula unit) = -19.87
- E_form (uncorrected) (meV/atom) = 1001

CdIr after structural relaxation. Source: Alexandria via LeMat-Bulk, functional PBE.

```
4
Lattice="2.8598 0.0000 0.0000 0.0000 2.8598 0.0000 0.0000 0.0000 8.5572" Properties=species:S:1:pos:R:3 pbc="T T T"
Cd 0.7149 0.7149 1.2765
Cd 2.1448 2.1448 7.2806
Ir 0.7149 0.7149 5.1530
Ir 2.1448 2.1448 3.4042
```

Computed properties:
- crystal system = tetragonal
- final energy (eV per formula unit) = -9.49
- formation enthalpy at 0 K (eV/atom) = 0.14

Sm3DyIn2 after structural relaxation. Source: Alexandria via LeMat-Bulk, functional PBE.

```
12
Lattice="5.2784 0.0000 0.0000 0.0000 9.9762 0.0000 0.0000 0.0000 6.7940" Properties=species:S:1:pos:R:3 pbc="T T T"
Sm 0.0000 0.3584 0.0000
Sm 0.0000 3.2366 2.3092
Sm 0.0000 6.7396 5.7062
Sm 0.0000 9.6178 3.3970
Sm 2.6392 1.8027 4.9264
Sm 2.6392 8.1735 1.5294
Dy 2.6392 4.6112 0.4286
Dy 2.6392 5.3650 3.8256
In 0.0000 3.5534 5.5829
In 0.0000 6.4228 2.1860
In 2.6392 1.4533 1.6611
In 2.6392 8.5228 5.0581
```

Computed properties:
- energy above the most stable polymorph in this dataset (eV/atom) = 0.000
- crystal system = orthorhombic
- final energy (eV per formula unit) = -26.36
- formation enthalpy at 0 K (eV/atom) = -0.35

KRb3N after structural relaxation. Source: Alexandria via LeMat-Bulk, functional PBE.

```
5
Lattice="6.2435 0.0000 0.0000 0.0000 6.2435 0.0000 0.0000 0.0000 6.2435" Properties=species:S:1:pos:R:3 pbc="T T T"
K 0.0000 0.0000 0.0000
Rb 0.0000 3.1218 3.1218
Rb 3.1218 0.0000 3.1218
Rb 3.1218 3.1218 0.0000
N 3.1218 3.1218 3.1218
```

Computed properties:
- energy above the most stable polymorph in this dataset (eV/atom) = 0.000
- crystal system = cubic
- final energy (eV per formula unit) = -9.56
- E_form (uncorrected) (meV/atom) = 554

LiTc after structural relaxation. Source: Alexandria via LeMat-Bulk, functional PBE.

```
4
Lattice="2.0358 1.1754 4.8506 -2.0358 1.1754 4.8506 0.0000 -2.3508 4.8506" Properties=species:S:1:pos:R:3 pbc="T T T"
Li 0.0000 0.0000 1.7421
Li 0.0000 0.0000 12.8098
Tc 0.0000 0.0000 4.7312
Tc 0.0000 0.0000 9.8206
```

Computed properties:
- energy above the most stable polymorph in this dataset (eV/atom) = 0.412
- crystal system = trigonal
- final energy (eV per formula unit) = -11.27
- formation enthalpy at 0 K (eV/atom) = 0.51

SrZrTi3 after structural relaxation. Source: Alexandria via LeMat-Bulk, functional PBE.

```
5
Lattice="5.0682 0.0000 0.0000 0.0000 5.0682 0.0000 0.0000 0.0000 5.0682" Properties=species:S:1:pos:R:3 pbc="T T T"
Sr 0.0000 0.0000 0.0000
Zr 2.5341 2.5341 2.5341
Ti 0.0000 2.5341 2.5341
Ti 2.5341 0.0000 2.5341
Ti 2.5341 2.5341 0.0000
```

Computed properties:
- energy above the most stable polymorph in this dataset (eV/atom) = 0.000
- crystal system = cubic
- final energy (eV per formula unit) = -29.43
- formation enthalpy at 0 K (eV/atom) = 0.90

KHg3Pd after structural relaxation. Source: Alexandria via LeMat-Bulk, functional PBE.

```
10
Lattice="5.2593 0.0000 0.0000 -2.6297 4.5547 0.0000 0.0000 0.0000 10.8453" Properties=species:S:1:pos:R:3 pbc="T T T"
K 0.0000 3.0365 2.7113
K 2.6297 1.5182 8.1340
Hg 0.0000 0.0000 2.7113
Hg 0.0000 0.0000 8.1340
Hg 0.0000 3.0365 6.1598
Hg 0.0000 3.0365 10.1082
Hg 2.6297 1.5182 0.7372
Hg 2.6297 1.5182 4.6855
Pd 0.0000 0.0000 0.0000
Pd 0.0000 0.0000 5.4227
```

Computed properties:
- energy above the most stable polymorph in this dataset (eV/atom) = 0.116
- crystal system = hexagonal
- final energy (eV per formula unit) = -7.83
- formation enthalpy at 0 K (eV/atom) = -0.13

Pm4SmBi5 after structural relaxation. Source: Alexandria via LeMat-Bulk, functional PBE.

```
10
Lattice="-2.2888 3.2319 11.4303 2.2888 -3.2319 11.4303 2.2888 3.2319 -11.4303" Properties=species:S:1:pos:R:3 pbc="T T T"
Pm 0.0000 0.0000 2.2849
Pm 0.0000 0.0000 6.8624
Pm 0.0000 0.0000 15.9983
Pm 0.0000 0.0000 20.5757
Sm 0.0000 0.0000 11.4303
Bi 2.2888 0.0000 0.0000
Bi 2.2888 0.0000 4.5733
Bi 2.2888 0.0000 9.1549
Bi 0.0000 3.2319 2.2754
Bi 0.0000 3.2319 6.8571
```

Computed properties:
- crystal system = orthorhombic
- final energy (eV per formula unit) = -52.52
- formation enthalpy at 0 K (eV/atom) = -0.94

Sm6DyS8 after structural relaxation. Source: Alexandria via LeMat-Bulk, functional PBE.

```
15
Lattice="0.0000 5.6512 5.6512 5.6512 0.0000 5.6512 5.6512 5.6512 0.0000" Properties=species:S:1:pos:R:3 pbc="T T T"
Sm 2.8256 2.8256 0.0000
Sm 2.8256 0.0000 2.8256
Sm 5.6512 2.8256 2.8256
Sm 0.0000 2.8256 2.8256
Sm 2.8256 5.6512 2.8256
Sm 2.8256 2.8256 5.6512
Dy 0.0000 0.0000 0.0000
S 5.6512 5.6512 2.7767
S 5.6512 2.7767 5.6512
S 8.5257 5.6512 5.6512
S 2.8256 2.8256 2.8256
S 8.4768 8.4768 8.4768
S 2.7767 5.6512 5.6512
S 5.6512 8.5257 5.6512
S 5.6512 5.6512 8.5257
```

Computed properties:
- crystal system = cubic
- final energy (eV per formula unit) = -96.81
- E_form (uncorrected) (meV/atom) = -2058

Ca2ZrRhS after structural relaxation. Source: Alexandria via LeMat-Bulk, functional PBE.

```
5
Lattice="5.9155 0.0000 0.0000 0.0000 5.9155 0.0000 0.0000 0.0000 4.6101" Properties=species:S:1:pos:R:3 pbc="T T T"
Ca 0.0000 2.9577 0.0000
Ca 2.9577 0.0000 0.0000
Zr 0.0000 0.0000 0.0000
Rh 0.0000 0.0000 2.3050
S 2.9577 2.9577 2.3050
```

Computed properties:
- crystal system = tetragonal
- final energy (eV per formula unit) = -21.14
- E_form (uncorrected) (meV/atom) = 579

CoPbS2 after structural relaxation. Source: Alexandria via LeMat-Bulk, functional PBE.

```
4
Lattice="1.7002 0.9816 8.0340 -1.7002 0.9816 8.0340 0.0000 -1.9632 8.0340" Properties=species:S:1:pos:R:3 pbc="T T T"
Co 0.0000 0.0000 0.0000
Pb 0.0000 0.0000 12.0510
S 0.0000 0.0000 9.1439
S 0.0000 0.0000 14.9582
```

Computed properties:
- energy above the most stable polymorph in this dataset (eV/atom) = 0.000
- crystal system = trigonal
- final energy (eV per formula unit) = -20.41
- E_form (uncorrected) (meV/atom) = -336

Ho5ZnTe2 after structural relaxation. Source: Alexandria via LeMat-Bulk, functional PBE.

```
16
Lattice="2.9637 -6.2765 0.0000 2.9637 6.2765 0.0000 0.0000 0.0000 12.8768" Properties=species:S:1:pos:R:3 pbc="T T T"
Ho 2.9637 5.5854 7.8995
Ho 2.9637 5.5854 11.4157
Ho 2.9637 1.5922 3.2192
Ho 2.9637 1.4585 7.2944
Ho 2.9637 1.4585 12.0208
Ho 2.9637 -1.4585 0.8560
Ho 2.9637 -1.4585 5.5824
Ho 2.9637 -1.5922 9.6576
Ho 2.9637 -5.5854 1.4611
Ho 2.9637 -5.5854 4.9773
Zn 2.9637 3.2269 9.6576
Zn 2.9637 -3.2269 3.2192
Te 2.9637 3.9010 1.1565
Te 2.9637 3.9010 5.2819
Te 2.9637 -3.9010 7.5949
Te 2.9637 -3.9010 11.7203
```

Computed properties:
- crystal system = orthorhombic
- final energy (eV per formula unit) = -34.21
- E_form (uncorrected) (meV/atom) = -471

Ca2HfScSb4 after structural relaxation. Source: Alexandria via LeMat-Bulk, functional PBE.

```
8
Lattice="7.3347 0.0000 0.0000 0.0000 4.2244 0.0000 -2.4278 0.0000 7.3658" Properties=species:S:1:pos:R:3 pbc="T T T"
Ca 0.0000 0.0000 0.0000
Ca 3.6674 2.1122 0.0000
Hf -1.2139 2.1122 3.6829
Sc 2.4535 0.0000 3.6829
Sb -0.0075 0.0000 5.3289
Sb 1.2064 2.1122 2.0320
Sb 3.7005 2.1122 5.3338
Sb 4.9145 0.0000 2.0369
```

Computed properties:
- crystal system = monoclinic
- final energy (eV per formula unit) = -43.23
- E_form (uncorrected) (meV/atom) = -807

AcAgTeO6 after structural relaxation. Source: Alexandria via LeMat-Bulk, functional PBE.

```
18
Lattice="5.2433 0.0000 0.0000 0.0000 5.2433 0.0000 0.0000 0.0000 10.3107" Properties=species:S:1:pos:R:3 pbc="T T T"
Ac 0.0000 0.0000 0.0000
Ac 2.6216 2.6216 5.1554
Ag 0.0000 0.0000 3.3949
Ag 2.6216 2.6216 8.5502
Te 0.0000 0.0000 6.8096
Te 2.6216 2.6216 1.6543
O 0.8890 0.8890 5.2943
O 0.9687 0.9687 8.1867
O 1.2348 1.2348 1.6998
O 1.3868 3.8565 6.8552
O 1.6529 3.5904 3.0313
O 1.7326 3.5107 0.1389
O 3.5107 1.7326 0.1389
O 3.5904 1.6529 3.0313
O 3.8565 1.3868 6.8552
O 4.0085 4.0085 1.6998
O 4.2746 4.2746 8.1867
O 4.3542 4.3542 5.2943
```

Computed properties:
- crystal system = tetragonal
- final energy (eV per formula unit) = -51.36
- E_form (uncorrected) (meV/atom) = -1279

Ce4CdRh2 after structural relaxation. Source: Alexandria via LeMat-Bulk, functional PBE.

```
7
Lattice="2.4356 1.4062 8.9294 -2.4356 1.4062 8.9294 0.0000 -2.8124 8.9294" Properties=species:S:1:pos:R:3 pbc="T T T"
Ce 0.0000 0.0000 2.8294
Ce 0.0000 0.0000 7.7300
Ce 0.0000 0.0000 19.0582
Ce 0.0000 0.0000 23.9587
Cd 0.0000 0.0000 13.3941
Rh 0.0000 0.0000 10.6247
Rh 0.0000 0.0000 16.1635
```

Computed properties:
- crystal system = trigonal
- final energy (eV per formula unit) = -41.33
- formation enthalpy at 0 K (eV/atom) = -0.28

Cs3HoAl2O6 after structural relaxation. Source: Alexandria via LeMat-Bulk, functional PBE.

```
12
Lattice="6.1615 0.0000 0.0000 -3.0807 5.3360 0.0000 0.0000 0.0000 7.7122" Properties=species:S:1:pos:R:3 pbc="T T T"
Cs 0.0000 0.0000 0.0000
Cs 0.0000 3.5573 5.8859
Cs 3.0808 1.7787 1.8263
Ho 0.0000 0.0000 3.8561
Al 0.0000 3.5573 2.5051
Al 3.0808 1.7787 5.2071
O 0.0000 1.8412 2.4747
O -1.4862 4.4154 2.4747
O 1.5945 0.9206 5.2375
O 1.4862 4.4154 2.4747
O 4.5670 0.9206 5.2375
O 3.0808 3.4948 5.2375
```

Computed properties:
- crystal system = trigonal
- final energy (eV per formula unit) = -72.81
- E_form (uncorrected) (meV/atom) = -2369

BaZnInHg2 after structural relaxation. Source: Alexandria via LeMat-Bulk, functional PBE.

```
5
Lattice="5.3515 0.0000 0.0000 0.0000 5.3515 0.0000 0.0000 0.0000 5.3091" Properties=species:S:1:pos:R:3 pbc="T T T"
Ba 0.0000 0.0000 0.0000
Zn 2.6757 2.6757 2.6545
In 2.6757 2.6757 0.0000
Hg 0.0000 2.6757 2.6545
Hg 2.6757 0.0000 2.6545
```

Computed properties:
- crystal system = tetragonal
- final energy (eV per formula unit) = -7.45
- formation enthalpy at 0 K (eV/atom) = -0.18

VNiCl2 after structural relaxation. Source: Alexandria via LeMat-Bulk, functional PBE.

```
4
Lattice="1.5468 0.8931 7.5418 -1.5468 0.8931 7.5418 0.0000 -1.7861 7.5418" Properties=species:S:1:pos:R:3 pbc="T T T"
V 0.0000 0.0000 0.0000
Ni 0.0000 0.0000 11.3128
Cl 0.0000 0.0000 9.1544
Cl 0.0000 0.0000 13.4711
```

Computed properties:
- energy above the most stable polymorph in this dataset (eV/atom) = 0.000
- crystal system = trigonal
- final energy (eV per formula unit) = -19.32
- E_form (uncorrected) (meV/atom) = -182

NaInCu after structural relaxation. Source: Alexandria via LeMat-Bulk, functional PBE.

```
6
Lattice="4.4005 0.0000 0.0000 2.1647 5.3271 0.0000 2.0511 -0.4848 5.7544" Properties=species:S:1:pos:R:3 pbc="T T T"
Na 2.1471 0.7743 1.9407
Na 6.4692 4.0680 3.8138
In 2.1482 3.8368 0.5150
In 6.4680 1.0056 5.2394
Cu 4.2695 1.8983 3.9700
Cu 4.3467 2.9440 1.7845
```

Computed properties:
- crystal system = triclinic
- final energy (eV per formula unit) = -8.09
- formation enthalpy at 0 K (eV/atom) = 0.02

LiB2MoC after structural relaxation. Source: Alexandria via LeMat-Bulk, functional PBE.

```
5
Lattice="3.4676 0.0000 0.0000 0.0000 3.4676 0.0000 0.0000 0.0000 3.6241" Properties=species:S:1:pos:R:3 pbc="T T T"
Li 0.0000 0.0000 0.0000
B 0.0000 1.7338 1.8121
B 1.7338 0.0000 1.8121
Mo 1.7338 1.7338 0.0000
C 0.0000 0.0000 1.8121
```

Computed properties:
- crystal system = tetragonal
- final energy (eV per formula unit) = -29.23
- formation enthalpy at 0 K (eV/atom) = 1.22

Nb2CuBRh after structural relaxation. Source: Alexandria via LeMat-Bulk, functional PBE.

```
5
Lattice="4.7122 0.0000 0.0000 0.0000 4.7122 0.0000 0.0000 0.0000 3.5983" Properties=species:S:1:pos:R:3 pbc="T T T"
Nb 0.0000 2.3561 0.0000
Nb 2.3561 0.0000 0.0000
Cu 0.0000 0.0000 0.0000
B 0.0000 0.0000 1.7991
Rh 2.3561 2.3561 1.7991
```

Computed properties:
- crystal system = tetragonal
- final energy (eV per formula unit) = -33.79
- formation enthalpy at 0 K (eV/atom) = 0.89